# NdTi2CdO6F

A geometry-optimized NdTi2CdO6F structure (PBE, Alexandria).

CIF file:
```
data_NdTi2CdO6F
_chemical_formula_sum 'Nd4 Ti8 Cd4 O24 F4'
_symmetry_space_group_name_H-M 'I m m a'
_symmetry_Int_Tables_number 74
_symmetry_space_group_name_Hall '-I 2b 2'
_cell_length_a 7.1399
_cell_length_b 7.6246
_cell_length_c 10.1625
_cell_angle_alpha 90.00
_cell_angle_beta 90.00
_cell_angle_gamma 90.00
loop_
_atom_site_label
_atom_site_type_symbol
_atom_site_fract_x
_atom_site_fract_y
_atom_site_fract_z
Nd1 Nd 0.0000 0.0000 0.0000
Ti1 Ti 0.0000 0.0000 0.5000
Ti2 Ti 0.2500 0.2500 0.2500
Cd1 Cd 0.2500 0.2500 0.7500
O1 O 0.0000 0.2500 0.1679
O2 O 0.0000 0.2500 0.5927
O3 O 0.2024 0.0595 0.3787
F1 F 0.0000 0.2500 0.8792
```

Calculated values
Crystal system ... orthorhombic
ρ ... 5.61 g cm⁻³
Raw formation energy ... -2750 meV per atom
Final energy ... -7.58 eV per atom
Magnetization ... 0.00 Bohr magnetons per cell


# CsUSnBr6

A geometry-optimized CsUSnBr6 structure (PBE, Alexandria).

CIF file:
```
data_CsUSnBr6
_chemical_formula_sum 'Cs4 U4 Sn4 Br24'
_symmetry_space_group_name_H-M 'I m m a'
_symmetry_Int_Tables_number 74
_symmetry_space_group_name_Hall '-I 2b 2'
_cell_length_a 10.4766
_cell_length_b 10.9094
_cell_length_c 15.3122
_cell_angle_alpha 90.00
_cell_angle_beta 90.00
_cell_angle_gamma 90.00
loop_
_atom_site_label
_atom_site_type_symbol
_atom_site_fract_x
_atom_site_fract_y
_atom_site_fract_z
Cs1 Cs 0.0000 0.2500 0.0727
U1 U 0.0000 0.0000 0.5000
Sn1 Sn 0.2500 0.2500 0.7500
Br1 Br 0.0000 0.2500 0.4322
Br2 Br 0.0000 0.2500 0.8378
Br3 Br 0.2047 0.0410 0.6234
```

Calculated values
Crystal system ... orthorhombic
ρ ... 3.68 g cm⁻³
Raw formation energy ... -1186 meV per atom
Final energy ... -4.10 eV per atom
Magnetization ... 12.00 Bohr magnetons per cell


# CuPbAu2

A geometry-optimized CuPbAu2 structure (PBE, Alexandria).

CIF file:
```
data_CuPbAu2
_chemical_formula_sum 'Cu2 Pb2 Au4'
_symmetry_space_group_name_H-M 'I 4/m m m'
_symmetry_Int_Tables_number 139
_symmetry_space_group_name_Hall '-I 4 2'
_cell_length_a 4.5403
_cell_length_b 4.5403
_cell_length_c 7.6228
_cell_angle_alpha 90.00
_cell_angle_beta 90.00
_cell_angle_gamma 90.00
loop_
_atom_site_label
_atom_site_type_symbol
_atom_site_fract_x
_atom_site_fract_y
_atom_site_fract_z
Cu1 Cu 0.0000 0.0000 0.0000
Pb1 Pb 0.0000 0.0000 0.5000
Au1 Au 0.0000 0.5000 0.2500
```

Calculated values
Crystal system ... tetragonal
ρ ... 14.05 g cm⁻³
Final energy ... -3.48 eV per atom
Magnetization ... 0.00 Bohr magnetons per cell


# CdNiCl2

A geometry-optimized CdNiCl2 structure (PBE, Alexandria).

CIF file:
```
data_CdNiCl2
_chemical_formula_sum 'Cd2 Ni2 Cl4'
_symmetry_space_group_name_H-M 'C 1 m 1'
_symmetry_Int_Tables_number 8
_cell_length_a 13.0086
_cell_length_b 3.3582
_cell_length_c 5.0253
_cell_angle_alpha 90.00
_cell_angle_beta 109.04
_cell_angle_gamma 90.00
loop_
_symmetry_equiv_pos_as_xyz
'x,y,z'
'x,-y,z'
'x+1/2,y+1/2,z'
'x+1/2,-y+1/2,z'
loop_
_atom_site_label
_atom_site_type_symbol
_atom_site_fract_x
_atom_site_fract_y
_atom_site_fract_z
Cd1 Cd 0.0000 0.0000 0.0000
Ni1 Ni 0.4289 0.0000 0.3223
Cl1 Cl 0.0877 0.5000 0.7115
Cl2 Cl 0.3300 0.5000 0.4181
```

Calculated values
Crystal system ... monoclinic
ρ ... 3.87 g cm⁻³
Raw formation energy ... -359 meV per atom
Final energy ... -2.96 eV per atom
Magnetization ... 2.33 Bohr magnetons per cell


# HfTiCo2Pt

A geometry-optimized HfTiCo2Pt structure (PBE, Alexandria).

CIF file:
```
data_HfTiCo2Pt
_chemical_formula_sum 'Hf1 Ti1 Co2 Pt1'
_symmetry_space_group_name_H-M 'P 4/m m m'
_symmetry_Int_Tables_number 123
_symmetry_space_group_name_Hall '-P 4 2'
_cell_length_a 4.4217
_cell_length_b 4.4217
_cell_length_c 4.9206
_cell_angle_alpha 90.00
_cell_angle_beta 90.00
_cell_angle_gamma 90.00
loop_
_atom_site_label
_atom_site_type_symbol
_atom_site_fract_x
_atom_site_fract_y
_atom_site_fract_z
Hf1 Hf 0.0000 0.0000 0.0000
Ti1 Ti 0.5000 0.5000 0.5000
Co1 Co 0.0000 0.5000 0.0000
Pt1 Pt 0.0000 0.0000 0.5000
```

Calculated values
Crystal system ... tetragonal
ρ ... 9.31 g cm⁻³
Final energy ... -6.67 eV per atom
Magnetization ... 1.17 Bohr magnetons per cell


# CaY2Ga2

A geometry-optimized CaY2Ga2 structure (PBE, Alexandria).

CIF file:
```
data_CaY2Ga2
_chemical_formula_sum 'Ca2 Y4 Ga4'
_symmetry_space_group_name_H-M 'P 4/m b m'
_symmetry_Int_Tables_number 127
_symmetry_space_group_name_Hall '-P 4 2ab'
_cell_length_a 8.7659
_cell_length_b 8.7659
_cell_length_c 3.3728
_cell_angle_alpha 90.00
_cell_angle_beta 90.00
_cell_angle_gamma 90.00
loop_
_atom_site_label
_atom_site_type_symbol
_atom_site_fract_x
_atom_site_fract_y
_atom_site_fract_z
Ca1 Ca 0.0000 0.0000 0.0000
Y1 Y 0.1300 0.3700 0.0000
Ga1 Ga 0.1724 0.6724 0.5000
```

Calculated values
Crystal system ... tetragonal
ρ ... 4.58 g cm⁻³
Final energy ... -4.56 eV per atom
Magnetization ... 0.00 Bohr magnetons per cell


# KLi3Pb

A geometry-optimized KLi3Pb structure (PBE, Alexandria).

CIF file:
```
data_KLi3Pb
_chemical_formula_sum 'K1 Li3 Pb1'
_symmetry_space_group_name_H-M 'P m -3 m'
_symmetry_Int_Tables_number 221
_symmetry_space_group_name_Hall '-P 4 2 3'
_cell_length_a 5.2957
_cell_length_b 5.2957
_cell_length_c 5.2957
_cell_angle_alpha 90.00
_cell_angle_beta 90.00
_cell_angle_gamma 90.00
loop_
_atom_site_label
_atom_site_type_symbol
_atom_site_fract_x
_atom_site_fract_y
_atom_site_fract_z
K1 K 0.0000 0.0000 0.0000
Li1 Li 0.0000 0.0000 0.5000
Pb1 Pb 0.5000 0.5000 0.5000
```

Calculated values
Crystal system ... cubic
ρ ... 2.99 g cm⁻³
Final energy ... -1.56 eV per atom
Magnetization ... 0.00 Bohr magnetons per cell


# Ce6Te3P2S

A geometry-optimized Ce6Te3P2S structure (PBE, Alexandria).

CIF file:
```
data_Ce6Te3P2S
_chemical_formula_sum 'Ce12 Te6 P4 S2'
_symmetry_space_group_name_H-M 'C 1 2/m 1'
_symmetry_Int_Tables_number 12
_cell_length_a 18.8487
_cell_length_b 4.2140
_cell_length_c 8.6884
_cell_angle_alpha 90.00
_cell_angle_beta 105.81
_cell_angle_gamma 90.00
loop_
_symmetry_equiv_pos_as_xyz
'x,y,z'
'-x,-y,-z'
'-x,y,-z'
'x,-y,z'
'x+1/2,y+1/2,z'
'-x+1/2,-y+1/2,-z'
'-x+1/2,y+1/2,-z'
'x+1/2,-y+1/2,z'
loop_
_atom_site_label
_atom_site_type_symbol
_atom_site_fract_x
_atom_site_fract_y
_atom_site_fract_z
Ce1 Ce 0.0082 0.0000 0.2295
Ce2 Ce 0.1586 0.5000 0.1034
Ce3 Ce 0.1748 0.5000 0.5629
Te1 Te 0.0000 0.5000 0.5000
Te2 Te 0.1668 0.0000 0.8332
P1 P 0.1663 0.0000 0.3324
S1 S 0.0000 0.5000 0.0000
```

Calculated values
Crystal system ... monoclinic
ρ ... 6.59 g cm⁻³
Raw formation energy ... -1543 meV per atom
Final energy ... -6.54 eV per atom
Magnetization ... 10.65 Bohr magnetons per cell